# Zr5Os4Rh | Alexandria via LeMat-Bulk | PBE | optimized geometry
data_Zr5Os4Rh
_chemical_formula_sum 'Zr5 Os4 Rh1'
_space_group_name_H-M_alt 'P 1'
_space_group_IT_number 1
_cell_length_a 3.288
_cell_length_b 3.288
_cell_length_c 16.459
_cell_angle_alpha 90.00
_cell_angle_beta 90.00
_cell_angle_gamma 90.00
loop_
_space_group_symop_operation_xyz
'x,y,z'
loop_
_atom_site_label
_atom_site_type_symbol
_atom_site_fract_x
_atom_site_fract_y
_atom_site_fract_z
Zr1 Zr 0.500 0.500 0.900
Zr2 Zr 0.500 0.500 0.300
Zr3 Zr 0.500 0.500 0.100
Zr4 Zr 0.500 0.500 0.500
Zr5 Zr 0.500 0.500 0.700
Os1 Os 0.000 0.000 0.801
Os2 Os 0.000 0.000 0.600
Os3 Os 0.000 0.000 0.400
Os4 Os 0.000 0.000 0.199
Rh1 Rh 0.000 0.000 0.000
# ρ = 12.3 g/cm3
# VASP energy = -10.07 eV per atom
# Total moment = 0.0 μB/f.u.

=====

# ZrOsRh2 | Alexandria via LeMat-Bulk | PBE | optimized geometry
data_ZrOsRh2
_chemical_formula_sum 'Zr1 Os1 Rh2'
_space_group_name_H-M_alt 'P 1'
_space_group_IT_number 1
_cell_length_a 4.516
_cell_length_b 2.844
_cell_length_c 4.888
_cell_angle_alpha 90.00
_cell_angle_beta 90.00
_cell_angle_gamma 90.00
loop_
_space_group_symop_operation_xyz
'x,y,z'
loop_
_atom_site_label
_atom_site_type_symbol
_atom_site_fract_x
_atom_site_fract_y
_atom_site_fract_z
Rh1 Rh 0.000 0.125 0.943
Rh2 Rh 0.500 0.125 0.291
Zr1 Zr 0.000 0.625 0.450
Os1 Os 0.500 0.625 0.817
# ρ = 12.9 g/cm3
# VASP energy = -8.94 eV per atom
# Total moment = 0.0 μB/f.u.

=====

# Zr2OsRh | Alexandria via LeMat-Bulk | PBE | optimized geometry
data_Zr2OsRh
_chemical_formula_sum 'Zr2 Os1 Rh1'
_space_group_name_H-M_alt 'P 1'
_space_group_IT_number 1
_cell_length_a 4.669
_cell_length_b 3.279
_cell_length_c 4.670
_cell_angle_alpha 90.00
_cell_angle_beta 90.00
_cell_angle_gamma 90.00
loop_
_space_group_symop_operation_xyz
'x,y,z'
loop_
_atom_site_label
_atom_site_type_symbol
_atom_site_fract_x
_atom_site_fract_y
_atom_site_fract_z
Zr1 Zr 0.000 0.125 0.875
Zr2 Zr 0.500 0.125 0.375
Rh1 Rh 0.500 0.625 0.875
Os1 Os 0.000 0.625 0.375
# ρ = 11.0 g/cm3
# VASP energy = -9.56 eV per atom
# Total moment = 0.0 μB/f.u.

=====

# ZrOsRh3 | Alexandria via LeMat-Bulk | PBE | optimized geometry
data_ZrOsRh3
_chemical_formula_sum 'Zr1 Os1 Rh3'
_space_group_name_H-M_alt 'P 1'
_space_group_IT_number 1
_cell_length_a 4.684
_cell_length_b 4.684
_cell_length_c 4.684
_cell_angle_alpha 90.00
_cell_angle_beta 90.00
_cell_angle_gamma 90.00
loop_
_space_group_symop_operation_xyz
'x,y,z'
loop_
_atom_site_label
_atom_site_type_symbol
_atom_site_fract_x
_atom_site_fract_y
_atom_site_fract_z
Os1 Os 0.000 0.000 0.000
Rh1 Rh 0.000 0.000 0.500
Rh2 Rh 0.000 0.500 0.000
Rh3 Rh 0.500 0.000 0.000
Zr1 Zr 0.500 0.500 0.500
# ρ = 9.5 g/cm3
# VASP energy = -7.42 eV per atom
# Total moment = 0.0 μB/f.u.

=====

# Zr2OsRh2 | Alexandria via LeMat-Bulk | PBE | optimized geometry
data_Zr2OsRh2
_chemical_formula_sum 'Zr2 Os1 Rh2'
_space_group_name_H-M_alt 'P 1'
_space_group_IT_number 1
_cell_length_a 5.053
_cell_length_b 5.053
_cell_length_c 5.226
_cell_angle_alpha 61.09
_cell_angle_beta 61.09
_cell_angle_gamma 90.00
loop_
_space_group_symop_operation_xyz
'x,y,z'
loop_
_atom_site_label
_atom_site_type_symbol
_atom_site_fract_x
_atom_site_fract_y
_atom_site_fract_z
Zr1 Zr 0.250 0.750 0.500
Zr2 Zr 0.750 0.250 0.500
Os1 Os 0.000 0.000 0.000
Rh1 Rh 0.659 0.659 0.682
Rh2 Rh 0.341 0.341 0.318
# ρ = 9.9 g/cm3
# VASP energy = -8.51 eV per atom
# Total moment = 0.0 μB/f.u.

=====

# ZrOs2Rh2 | Alexandria via LeMat-Bulk | PBE | optimized geometry
data_ZrOs2Rh2
_chemical_formula_sum 'Zr2 Os4 Rh4'
_space_group_name_H-M_alt 'P 1'
_space_group_IT_number 1
_cell_length_a 7.574
_cell_length_b 7.574
_cell_length_c 2.794
_cell_angle_alpha 90.00
_cell_angle_beta 90.00
_cell_angle_gamma 90.00
loop_
_space_group_symop_operation_xyz
'x,y,z'
loop_
_atom_site_label
_atom_site_type_symbol
_atom_site_fract_x
_atom_site_fract_y
_atom_site_fract_z
Zr1 Zr 0.500 0.500 0.000
Zr2 Zr 0.000 0.000 0.000
Rh1 Rh 0.178 0.678 0.500
Rh2 Rh 0.822 0.322 0.500
Rh3 Rh 0.678 0.822 0.500
Rh4 Rh 0.322 0.178 0.500
Os1 Os 0.119 0.381 0.000
Os2 Os 0.381 0.881 0.000
Os3 Os 0.619 0.119 0.000
Os4 Os 0.881 0.619 0.000
# ρ = 14.0 g/cm3
# VASP energy = -9.17 eV per atom
# Total moment = 0.0 μB/f.u.

=====

# ZrOsRh2 | Alexandria via LeMat-Bulk | PBE | optimized geometry
data_ZrOsRh2
_chemical_formula_sum 'Zr1 Os1 Rh2'
_space_group_name_H-M_alt 'P 1'
_space_group_IT_number 1
_cell_length_a 9.431
_cell_length_b 9.431
_cell_length_c 9.431
_cell_angle_alpha 17.14
_cell_angle_beta 17.14
_cell_angle_gamma 17.14
loop_
_space_group_symop_operation_xyz
'x,y,z'
loop_
_atom_site_label
_atom_site_type_symbol
_atom_site_fract_x
_atom_site_fract_y
_atom_site_fract_z
Zr1 Zr 0.502 0.502 0.502
Os1 Os 0.744 0.744 0.744
Rh1 Rh 0.001 0.001 0.001
Rh2 Rh 0.253 0.253 0.253
# ρ = 12.7 g/cm3
# VASP energy = -8.55 eV per atom
# Total moment = 0.2 μB/f.u.

=====

# Zr3OsRh | Alexandria via LeMat-Bulk | PBE | optimized geometry
data_Zr3OsRh
_chemical_formula_sum 'Zr3 Os1 Rh1'
_space_group_name_H-M_alt 'P 1'
_space_group_IT_number 1
_cell_length_a 4.993
_cell_length_b 4.993
_cell_length_c 4.993
_cell_angle_alpha 90.00
_cell_angle_beta 90.00
_cell_angle_gamma 90.00
loop_
_space_group_symop_operation_xyz
'x,y,z'
loop_
_atom_site_label
_atom_site_type_symbol
_atom_site_fract_x
_atom_site_fract_y
_atom_site_fract_z
Rh1 Rh 0.500 0.500 0.500
Zr1 Zr 0.500 0.000 0.000
Zr2 Zr 0.000 0.000 0.500
Zr3 Zr 0.000 0.500 0.000
Os1 Os 0.000 0.000 0.000
# ρ = 7.6 g/cm3
# VASP energy = -8.30 eV per atom
# Total moment = 0.0 μB/f.u.

=====

# ZrOsRh3 | Alexandria via LeMat-Bulk | PBE | optimized geometry
data_ZrOsRh3
_chemical_formula_sum 'Zr1 Os1 Rh3'
_space_group_name_H-M_alt 'P 1'
_space_group_IT_number 1
_cell_length_a 4.707
_cell_length_b 4.707
_cell_length_c 4.707
_cell_angle_alpha 90.00
_cell_angle_beta 90.00
_cell_angle_gamma 90.00
loop_
_space_group_symop_operation_xyz
'x,y,z'
loop_
_atom_site_label
_atom_site_type_symbol
_atom_site_fract_x
_atom_site_fract_y
_atom_site_fract_z
Rh1 Rh 0.000 0.500 0.000
Rh2 Rh 0.000 0.000 0.500
Rh3 Rh 0.500 0.000 0.000
Zr1 Zr 0.000 0.000 0.000
Os1 Os 0.500 0.500 0.500
# ρ = 9.4 g/cm3
# VASP energy = -6.77 eV per atom
# Total moment = 3.5 μB/f.u.

=====

# ZrOsRh | Alexandria via LeMat-Bulk | PBE | optimized geometry
data_ZrOsRh
_chemical_formula_sum 'Zr1 Os1 Rh1'
_space_group_name_H-M_alt 'P 1'
_space_group_IT_number 1
_cell_length_a 4.360
_cell_length_b 4.360
_cell_length_c 4.360
_cell_angle_alpha 60.00
_cell_angle_beta 60.00
_cell_angle_gamma 60.00
loop_
_space_group_symop_operation_xyz
'x,y,z'
loop_
_atom_site_label
_atom_site_type_symbol
_atom_site_fract_x
_atom_site_fract_y
_atom_site_fract_z
Os1 Os 0.000 0.000 0.000
Zr1 Zr 0.750 0.750 0.750
Rh1 Rh 0.500 0.500 0.500
# ρ = 10.9 g/cm3
# VASP energy = -8.61 eV per atom
# Total moment = 0.0 μB/f.u.

=====

# Zr2OsRh | Alexandria via LeMat-Bulk | PBE | optimized geometry
data_Zr2OsRh
_chemical_formula_sum 'Zr2 Os1 Rh1'
_space_group_name_H-M_alt 'P 1'
_space_group_IT_number 1
_cell_length_a 3.693
_cell_length_b 3.693
_cell_length_c 5.625
_cell_angle_alpha 90.00
_cell_angle_beta 90.00
_cell_angle_gamma 90.00
loop_
_space_group_symop_operation_xyz
'x,y,z'
loop_
_atom_site_label
_atom_site_type_symbol
_atom_site_fract_x
_atom_site_fract_y
_atom_site_fract_z
Zr1 Zr 0.000 0.000 0.949
Zr2 Zr 0.500 0.500 0.308
Os1 Os 0.000 0.000 0.438
Rh1 Rh 0.500 0.500 0.805
# ρ = 10.3 g/cm3
# VASP energy = -9.22 eV per atom
# Total moment = 0.0 μB/f.u.

=====

# Zr2OsRh | Alexandria via LeMat-Bulk | PBE | optimized geometry
data_Zr2OsRh
_chemical_formula_sum 'Zr2 Os1 Rh1'
_space_group_name_H-M_alt 'P 1'
_space_group_IT_number 1
_cell_length_a 8.977
_cell_length_b 8.977
_cell_length_c 8.977
_cell_angle_alpha 20.24
_cell_angle_beta 20.24
_cell_angle_gamma 20.24
loop_
_space_group_symop_operation_xyz
'x,y,z'
loop_
_atom_site_label
_atom_site_type_symbol
_atom_site_fract_x
_atom_site_fract_y
_atom_site_fract_z
Os1 Os 0.499 0.499 0.499
Rh1 Rh 0.751 0.751 0.751
Zr1 Zr 0.009 0.009 0.009
Zr2 Zr 0.240 0.240 0.240
# ρ = 10.4 g/cm3
# VASP energy = -8.75 eV per atom
# Total moment = 0.0 μB/f.u.